# TaTc2Au, single point on PBEsol structure, DFT SCAN
# Calculated volume ... 15.554 A^3/atom
# Formation enthalpy at 0 K ... 0.049 eV/atom
# Mass density ... 15.3 g cm⁻³
# Calculated total energy ... -205.664 eV for the cell shown
# Space group ... C2/m, No. 12
# DOS(E_F) ... 0.78 states/eV/atom
data_TaTc2Au
_chemical_formula_sum 'Ta1 Tc2 Au1'
_cell_length_a 2.942
_cell_length_b 4.745
_cell_length_c 4.798
_cell_angle_alpha 101.69
_cell_angle_beta 90.00
_cell_angle_gamma 108.06
_space_group_name_H-M_alt 'P 1'
_space_group_IT_number 1
_space_group_name_Hall 'P 1'
loop_
_atom_site_label
_atom_site_type_symbol
_atom_site_fract_x
_atom_site_fract_y
_atom_site_fract_z
_atom_site_occupancy
Au1 Au 0.000 0.000 0.500 1
Ta1 Ta 0.500 0.000 0.000 1
Tc1 Tc 0.754 0.508 0.753 1
Tc2 Tc 0.246 0.492 0.247 1